1.
Density functional theory data (GGA-PBE) for an optimized crystal structure of NaMg2GaPt.

For the calculated formation energy, the calculation gives -0.361 eV/atom.

It has space group P4/mmm (No. 123), with a = 5.0953 Å, b = 5.0953 Å, c = 4.8254 Å, α = 90.00°, β = 90.00° and γ = 90.00°. Symmetry generates all atoms from Na at (0.0000, 0.0000, 0.0000), Mg at (0.0000, 0.5000, 0.5000), Ga at (0.5000, 0.5000, 0.0000) and Pt at (0.5000, 0.5000, 0.5000).



2.
Density functional theory data (GGA-PBE) for an optimized crystal structure of Zn3O3Ne.

Its calculated total energy is -26.74 eV/f.u.

It has space group Pm-3n (No. 223), with a = 5.6974 Å, b = 5.6974 Å, c = 5.6974 Å, α = 90.00°, β = 90.00° and γ = 90.00°. Symmetry generates all atoms from Zn at (0.0000, 0.2500, 0.5000), O at (0.0000, 0.5000, 0.2500) and Ne at (0.0000, 0.0000, 0.0000).



3.
Density functional theory data (GGA-PBE) for an optimized crystal structure of In4Rh5.

The polymorph energy (0 for the lowest one) is 0 meV per atom. For the calculated formation energy, the calculation gives -0.232 eV/atom.

It has space group P6_3/mcm (No. 193), with a = 7.9571 Å, b = 7.9571 Å, c = 5.6036 Å, α = 90.00°, β = 90.00° and γ = 120.00°. Symmetry generates all atoms from In at (0.0000, 0.0000, 0.0000), In at (0.0000, 0.3740, 0.2500), Rh at (0.0000, 0.2959, 0.7500) and Rh at (0.3333, 0.6667, 0.0000).